# 1
VASP calculation (PBE) on an optimized crystal structure of VPdS2.

Lattice parameters (Å, degrees): 3.1798 6.7142 6.9410 101.57 101.28 98.41
Sites, in units of the cell vectors:
V 0.0000 0.0000 0.0000
V 0.2839 0.7395 0.7232
Pd 0.1246 0.8076 0.3281
Pd 0.6641 0.3824 0.1186
S 0.4332 0.1027 0.7892
S 0.6413 0.5973 0.4728
S 0.6425 0.0832 0.2642
S 0.8400 0.6423 0.9318

Properties
- density of states at the Fermi level (states/eV/f.u.) = 1.6
- space-group type = No. 1
- formation energy from raw total energies (eV/atom) = -0.623


# 2
VASP calculation (PBE) on an optimized crystal structure of AlGa3Ni4.

Lattice parameters (Å, degrees): 2.9154 2.9154 11.5975 90.00 90.00 90.00
Sites, in units of the cell vectors:
Al 0.0000 0.0000 0.0000
Ga 0.0000 0.0000 0.2482
Ga 0.0000 0.0000 0.5000
Ga 0.0000 0.0000 0.7518
Ni 0.5000 0.5000 0.1230
Ni 0.5000 0.5000 0.3740
Ni 0.5000 0.5000 0.6260
Ni 0.5000 0.5000 0.8770

Properties
- density of states at the Fermi level (states/eV/f.u.) = 5.8
- formation enthalpy at 0 K (meV per atom) = -439
- space-group type = No. 123


# 3
VASP calculation (PBE) on an optimized crystal structure of Y4GaAgHg2.

Lattice parameters (Å, degrees): 9.0169 9.0169 9.0169 33.51 33.51 33.51
Sites, in units of the cell vectors:
Y 0.1231 0.1231 0.1231
Y 0.3732 0.3732 0.3732
Y 0.6268 0.6268 0.6268
Y 0.8769 0.8769 0.8769
Ga 0.0000 0.0000 0.0000
Ag 0.5000 0.5000 0.5000
Hg 0.2474 0.2474 0.2474
Hg 0.7526 0.7526 0.7526

Properties
- density of states at the Fermi level (states/eV/f.u.) = 6.5
- formation enthalpy at 0 K (meV per atom) = -480
- space-group type = No. 166


# 4
VASP calculation (PBE) on an optimized crystal structure of Ac3La3Tm2.

Lattice parameters (Å, degrees): 9.3662 9.3662 6.2148 107.71 107.71 36.92
Sites, in units of the cell vectors:
Ac 0.0000 0.0000 0.0000
Ac 0.1380 0.1380 0.5946
Ac 0.8620 0.8620 0.4054
La 0.3597 0.3597 0.7992
La 0.5000 0.5000 0.5000
La 0.6403 0.6403 0.2008
Tm 0.2516 0.2516 0.1820
Tm 0.7484 0.7484 0.8180

Properties
- density of states at the Fermi level (states/eV/f.u.) = 12.8
- formation enthalpy at 0 K (meV per atom) = 82
- space-group type = No. 12


# 5
VASP calculation (PBE) on an optimized crystal structure of La11Mg9Co4.

Lattice parameters (Å, degrees): 13.6268 13.6268 3.8460 90.00 90.00 113.01
Sites, in units of the cell vectors:
La 0.0000 0.0000 0.0000
La 0.0919 0.4198 0.0000
La 0.1557 0.8443 0.0000
La 0.3135 0.3135 0.0000
La 0.3743 0.6257 0.0000
La 0.4198 0.0919 0.0000
La 0.5802 0.9081 0.0000
La 0.6257 0.3743 0.0000
La 0.6865 0.6865 0.0000
La 0.8443 0.1557 0.0000
La 0.9081 0.5802 0.0000
Mg 0.0804 0.2196 0.5000
Mg 0.1568 0.6359 0.5000
Mg 0.2196 0.0804 0.5000
Mg 0.3641 0.8432 0.5000
Mg 0.5000 0.5000 0.5000
Mg 0.6359 0.1568 0.5000
Mg 0.7804 0.9196 0.5000
Mg 0.8432 0.3641 0.5000
Mg 0.9196 0.7804 0.5000
Co 0.2470 0.4555 0.5000
Co 0.4555 0.2470 0.5000
Co 0.5445 0.7530 0.5000
Co 0.7530 0.5445 0.5000

Properties
- density of states at the Fermi level (states/eV/f.u.) = 23.7
- formation enthalpy at 0 K (meV per atom) = -114
- space-group type = No. 65


# 6
VASP calculation (PBE) on an optimized crystal structure of Mg3AgW.

Lattice parameters (Å, degrees): 4.9410 4.9410 4.9410 90.00 90.00 90.00
Sites, in units of the cell vectors:
Mg 0.0000 0.0000 0.5000
Mg 0.0000 0.5000 0.0000
Mg 0.5000 0.0000 0.0000
Ag 0.0000 0.0000 0.0000
W 0.5000 0.5000 0.5000

Properties
- density of states at the Fermi level (states/eV/f.u.) = 4.0
- formation enthalpy at 0 K (meV per atom) = 1142
- energy above the lowest structure with this stoichiometry (eV per atom) = 0.000
- space-group type = No. 221


Copy entry 1 word for word.
VASP calculation (PBE) on an optimized crystal structure of VPdS2.

Lattice parameters (Å, degrees): 3.1798 6.7142 6.9410 101.57 101.28 98.41
Sites, in units of the cell vectors:
V 0.0000 0.0000 0.0000
V 0.2839 0.7395 0.7232
Pd 0.1246 0.8076 0.3281
Pd 0.6641 0.3824 0.1186
S 0.4332 0.1027 0.7892
S 0.6413 0.5973 0.4728
S 0.6425 0.0832 0.2642
S 0.8400 0.6423 0.9318

Properties
- density of states at the Fermi level (states/eV/f.u.) = 1.6
- space-group type = No. 1
- formation energy from raw total energies (eV/atom) = -0.623


Question: Look up the density of states at the Fermi level of the first one.
Answer: 1.6 states/eV/f.u.


Please write out number 4 again, unchanged.
VASP calculation (PBE) on an optimized crystal structure of Ac3La3Tm2.

Lattice parameters (Å, degrees): 9.3662 9.3662 6.2148 107.71 107.71 36.92
Sites, in units of the cell vectors:
Ac 0.0000 0.0000 0.0000
Ac 0.1380 0.1380 0.5946
Ac 0.8620 0.8620 0.4054
La 0.3597 0.3597 0.7992
La 0.5000 0.5000 0.5000
La 0.6403 0.6403 0.2008
Tm 0.2516 0.2516 0.1820
Tm 0.7484 0.7484 0.8180

Properties
- density of states at the Fermi level (states/eV/f.u.) = 12.8
- formation enthalpy at 0 K (meV per atom) = 82
- space-group type = No. 12


Repeat the first record exactly.
VASP calculation (PBE) on an optimized crystal structure of VPdS2.

Lattice parameters (Å, degrees): 3.1798 6.7142 6.9410 101.57 101.28 98.41
Sites, in units of the cell vectors:
V 0.0000 0.0000 0.0000
V 0.2839 0.7395 0.7232
Pd 0.1246 0.8076 0.3281
Pd 0.6641 0.3824 0.1186
S 0.4332 0.1027 0.7892
S 0.6413 0.5973 0.4728
S 0.6425 0.0832 0.2642
S 0.8400 0.6423 0.9318

Properties
- density of states at the Fermi level (states/eV/f.u.) = 1.6
- space-group type = No. 1
- formation energy from raw total energies (eV/atom) = -0.623